Arrangement i

Material: SmHo2Tm
Method: DFT, PBE
State: optimized geometry

Properties
Its density is 8.6 g cm⁻³.

Cell lengths 3.565, 3.565, 11.616 Å; angles 81.17, 81.17, 60.00 degrees
Fractional positions:
Sm 0.500 0.500 0.499
Tm 0.666 0.666 0.001
Ho 0.082 0.082 0.754
Ho 0.251 0.251 0.246

=====

Arrangement ii

Material: SmHo2Tm
Method: DFT, PBE
State: optimized geometry

Properties
Its density is 8.6 g cm⁻³.

Cell lengths 3.538, 3.538, 10.031 Å; angles 90.00, 90.00, 90.00 degrees
Fractional positions:
Tm 0.500 0.500 0.000
Sm 0.500 0.500 0.500
Ho 0.000 0.000 0.245
Ho 0.000 0.000 0.755

=====

Arrangement iii

Material: SmHo2Tm
Method: DFT, PBE
State: optimized geometry

Properties
Its density is 8.5 g cm⁻³.

Cell lengths 5.648, 5.648, 5.648 Å; angles 60.00, 60.00, 60.00 degrees
Fractional positions:
Tm 0.000 0.000 0.000
Ho 0.750 0.750 0.750
Sm 0.500 0.500 0.500
Ho 0.250 0.250 0.250

=====

Which is most stable, and by how much? arrangement i, by 7 meV per atom.

=====

Arrangement i

Material: Sm5Ho4Tm2
Method: DFT, PBE
State: optimized geometry

Properties
Its density is 8.0 g cm⁻³.

Cell lengths 6.878, 6.879, 9.645 Å; angles 69.46, 69.49, 60.82 degrees
Fractional positions:
Sm 0.158 0.628 0.822
Ho 0.349 0.349 0.501
Ho 0.643 0.643 0.848
Ho 0.651 0.651 0.499
Sm 0.372 0.842 0.178
Ho 0.357 0.357 0.152
Sm 0.842 0.372 0.178
Sm 0.000 0.000 0.500
Sm 0.628 0.158 0.822
Tm 0.871 0.871 0.151
Tm 0.129 0.129 0.849

=====

Arrangement ii

Material: Sm5Ho4Tm2
Method: DFT, PBE
State: optimized geometry

Properties
Its density is 7.8 g cm⁻³.

Cell lengths 3.502, 9.048, 12.655 Å; angles 110.95, 97.95, 90.00 degrees
Fractional positions:
Sm 0.146 0.347 0.293
Ho 0.597 0.597 0.194
Sm 0.854 0.054 0.707
Tm 0.730 0.730 0.461
Sm 0.854 0.653 0.707
Ho 0.000 0.688 0.000
Ho 0.000 0.312 0.000
Sm 0.500 0.000 0.000
Tm 0.270 0.270 0.539
Sm 0.146 0.946 0.293
Ho 0.403 0.403 0.806

=====

Which is most stable, and by how much? arrangement i, by 40 meV per atom.

=====

Arrangement i

Material: Sm2Ho5Tm4
Method: DFT, PBE
State: optimized geometry

Properties
Its density is 8.5 g cm⁻³.

Cell lengths 6.585, 6.585, 9.196 Å; angles 75.43, 75.43, 67.30 degrees
Fractional positions:
Tm 0.674 0.674 0.502
Tm 0.326 0.326 0.498
Sm 0.147 0.147 0.877
Tm 0.330 0.330 0.125
Ho 0.213 0.652 0.780
Ho 0.787 0.348 0.220
Ho 0.348 0.787 0.220
Ho 0.652 0.213 0.780
Tm 0.670 0.670 0.875
Sm 0.853 0.853 0.123
Ho 0.000 0.000 0.500

=====

Arrangement ii

Material: Sm2Ho5Tm4
Method: DFT, PBE
State: optimized geometry

Properties
Its density is 8.4 g cm⁻³.

Cell lengths 3.467, 8.931, 12.495 Å; angles 110.94, 97.97, 90.00 degrees
Fractional positions:
Ho 0.858 0.662 0.716
Sm 0.732 0.732 0.464
Tm 0.403 0.403 0.806
Tm 0.000 0.312 0.000
Tm 0.000 0.688 0.000
Ho 0.142 0.338 0.284
Sm 0.268 0.268 0.536
Ho 0.858 0.054 0.716
Ho 0.500 0.000 0.000
Ho 0.142 0.946 0.284
Tm 0.597 0.597 0.194

=====

Which is most stable, and by how much? arrangement i, by 58 meV per atom.

=====

Arrangement i

Material: Sm4HoTm2
Method: DFT, PBE
State: optimized geometry

Properties
Its density is 8.1 g cm⁻³.

Cell lengths 6.198, 6.569, 11.518 Å; angles 90.00, 105.02, 90.00 degrees
Fractional positions:
Sm 0.649 0.508 0.286
Tm 0.289 0.250 0.423
Sm 0.649 0.992 0.286
Sm 0.351 0.008 0.714
Tm 0.609 0.750 0.996
Sm 0.351 0.492 0.714
Sm 0.149 0.750 0.450
Ho 0.154 0.750 0.164
Tm 0.391 0.250 0.004
Sm 0.960 0.250 0.136
Tm 0.711 0.750 0.577
Sm 0.851 0.250 0.550
Sm 0.040 0.750 0.864
Ho 0.846 0.250 0.836

=====

Arrangement ii

Material: Sm4HoTm2
Method: DFT, PBE
State: optimized geometry

Properties
Its density is 8.0 g cm⁻³.

Cell lengths 12.429, 12.429, 6.737 Å; angles 97.04, 97.04, 150.13 degrees
Fractional positions:
Sm 0.185 0.795 0.894
Tm 0.920 0.102 0.051
Sm 0.042 0.151 0.606
Sm 0.710 0.173 0.860
Tm 0.102 0.920 0.551
Sm 0.563 0.601 0.140
Tm 0.619 0.301 0.450
Tm 0.301 0.619 0.950
Sm 0.601 0.563 0.640
Sm 0.795 0.185 0.394
Ho 0.675 0.425 0.000
Sm 0.173 0.710 0.360
Sm 0.151 0.042 0.106
Ho 0.425 0.675 0.500

=====

Which is most stable, and by how much? arrangement ii, by 77 meV per atom.

=====

Arrangement i

Material: Sm4HoTm4
Method: DFT, PBE
State: optimized geometry

Properties
Its density is 8.3 g cm⁻³.

Cell lengths 5.551, 8.845, 8.873 Å; angles 44.82, 71.76, 71.68 degrees
Fractional positions:
Tm 0.377 0.573 0.674
Sm 0.720 0.846 0.713
Ho 0.500 0.000 0.000
Sm 0.280 0.154 0.287
Tm 0.623 0.427 0.326
Tm 0.929 0.767 0.375
Tm 0.071 0.233 0.625
Sm 0.133 0.693 0.040
Sm 0.867 0.307 0.960

=====

Arrangement ii

Material: Sm4HoTm4
Method: DFT, PBE
State: optimized geometry

Properties
Its density is 8.4 g cm⁻³.

Cell lengths 5.014, 7.953, 7.953 Å; angles 84.30, 71.62, 71.62 degrees
Fractional positions:
Sm 0.669 0.331 0.331
Sm 0.000 0.669 0.331
Tm 0.666 0.668 0.000
Sm 0.331 0.669 0.669
Ho 0.000 0.000 0.000
Tm 0.334 0.332 0.000
Sm 0.000 0.331 0.669
Tm 0.666 0.000 0.668
Tm 0.334 0.000 0.332

=====

Which is most stable, and by how much? arrangement ii, by 85 meV per atom.

=====

Arrangement i

Material: Sm6Ho2Tm
Method: DFT, PBE
State: optimized geometry

Properties
Its density is 7.8 g cm⁻³.

Cell lengths 6.646, 9.653, 9.653 Å; angles 96.66, 80.23, 80.23 degrees
Fractional positions:
Ho 0.633 0.666 0.620
Sm 0.778 0.538 0.940
Sm 0.278 0.940 0.538
Tm 0.250 0.119 0.881
Sm 0.995 0.720 0.353
Sm 0.818 0.958 0.777
Sm 0.722 0.060 0.462
Sm 0.495 0.353 0.720
Sm 0.005 0.280 0.647
Sm 0.505 0.647 0.280
Ho 0.367 0.334 0.380
Sm 0.222 0.462 0.060
Tm 0.750 0.881 0.119
Sm 0.682 0.223 0.042
Ho 0.133 0.620 0.666
Sm 0.318 0.777 0.958
Ho 0.867 0.380 0.334
Sm 0.182 0.042 0.223

=====

Arrangement ii

Material: Sm6Ho2Tm
Method: DFT, PBE
State: optimized geometry

Properties
Its density is 7.8 g cm⁻³.

Cell lengths 3.637, 9.924, 9.924 Å; angles 56.05, 90.00, 90.00 degrees
Fractional positions:
Sm 0.500 0.315 0.685
Sm 0.500 0.685 0.315
Sm 0.000 0.512 0.159
Sm 0.000 0.488 0.841
Sm 0.000 0.841 0.488
Ho 0.500 0.177 0.177
Tm 0.000 0.000 0.000
Ho 0.500 0.823 0.823
Sm 0.000 0.159 0.512

=====

Which is most stable, and by how much? arrangement i, by 17 meV per atom.

=====

Arrangement i

Material: Sm4Ho3Tm8
Method: DFT, PBE
State: optimized geometry

Properties
Its density is 8.5 g cm⁻³.

Cell lengths 6.887, 6.887, 12.341 Å; angles 73.80, 73.80, 60.00 degrees
Fractional positions:
Ho 0.000 0.500 0.500
Sm 0.337 0.337 0.990
Tm 0.250 0.250 0.747
Tm 0.250 0.753 0.747
Ho 0.500 0.000 0.500
Tm 0.750 0.247 0.253
Tm 0.750 0.750 0.253
Tm 0.247 0.750 0.253
Tm 0.755 0.755 0.734
Tm 0.753 0.250 0.747
Sm 0.000 0.000 0.000
Sm 0.663 0.663 0.010
Tm 0.245 0.245 0.266
Sm 0.500 0.500 0.500
Ho 0.000 0.000 0.500

=====

Arrangement ii

Material: Sm4Ho3Tm8
Method: DFT, PBE
State: optimized geometry

Properties
Its density is 8.3 g cm⁻³.

Cell lengths 6.672, 9.229, 9.229 Å; angles 87.86, 111.29, 111.29 degrees
Fractional positions:
Tm 0.500 0.746 0.254
Sm 0.000 0.000 0.500
Tm 0.995 0.731 0.731
Sm 0.500 0.000 0.000
Tm 0.524 0.267 0.267
Ho 0.500 0.000 0.500
Tm 0.005 0.269 0.269
Sm 0.000 0.000 0.000
Ho 0.500 0.500 0.000
Tm 0.500 0.254 0.746
Tm 0.000 0.637 0.363
Ho 0.500 0.500 0.500
Tm 0.476 0.733 0.733
Sm 0.000 0.500 0.000
Tm 0.000 0.363 0.637

=====

Which is most stable, and by how much? arrangement i, by 258 meV per atom.

=====

Arrangement i

Material: Sm3Ho7Tm2
Method: DFT, PBE
State: optimized geometry

Properties
Its density is 8.0 g cm⁻³.

Cell lengths 6.459, 6.459, 11.814 Å; angles 74.14, 74.14, 60.00 degrees
Fractional positions:
Ho 0.584 0.082 0.749
Sm 0.845 0.845 0.466
Ho 0.082 0.584 0.749
Tm 0.667 0.667 0.000
Sm 0.000 0.000 0.000
Ho 0.416 0.918 0.251
Ho 0.500 0.500 0.500
Ho 0.416 0.416 0.251
Sm 0.155 0.155 0.534
Tm 0.333 0.333 0.000
Ho 0.918 0.416 0.251
Ho 0.584 0.584 0.749

=====

Arrangement ii

Material: Sm3Ho7Tm2
Method: DFT, PBE
State: optimized geometry

Properties
Its density is 8.4 g cm⁻³.

Cell lengths 3.542, 5.789, 18.653 Å; angles 93.07, 90.00, 90.00 degrees
Fractional positions:
Tm 0.500 0.709 0.293
Ho 0.500 0.191 0.177
Ho 0.500 0.809 0.823
Ho 0.000 0.688 0.144
Ho 0.500 0.257 0.537
Tm 0.500 0.291 0.707
Ho 0.000 0.312 0.856
Ho 0.500 0.743 0.463
Sm 0.500 0.500 0.000
Ho 0.000 0.000 0.000
Sm 0.000 0.780 0.633
Sm 0.000 0.220 0.367

=====

Which is most stable, and by how much? arrangement ii, by 207 meV per atom.

=====

Arrangement i

Material: Sm2Ho2Tm
Method: DFT, PBE
State: optimized geometry

Properties
Its density is 8.2 g cm⁻³.

Cell lengths 6.275, 8.463, 6.734 Å; angles 102.62, 90.00, 111.76 degrees
Fractional positions:
Tm 0.584 0.000 0.750
Sm 0.817 0.799 0.053
Tm 0.416 0.000 0.250
Sm 0.183 0.201 0.947
Ho 0.218 0.601 0.848
Sm 0.018 0.201 0.447
Ho 0.782 0.399 0.152
Ho 0.617 0.399 0.652
Ho 0.383 0.601 0.348
Sm 0.982 0.799 0.553

=====

Arrangement ii

Material: Sm2Ho2Tm
Method: DFT, PBE
State: optimized geometry

Properties
Its density is 8.2 g cm⁻³.

Cell lengths 5.677, 3.578, 16.271 Å; angles 96.31, 100.05, 90.00 degrees
Fractional positions:
Ho 0.729 0.979 0.458
Sm 0.060 0.810 0.120
Tm 0.826 0.576 0.652
Sm 0.456 0.706 0.913
Ho 0.368 0.118 0.736
Sm 0.940 0.190 0.880
Ho 0.271 0.021 0.542
Ho 0.632 0.882 0.264
Tm 0.174 0.424 0.348
Sm 0.544 0.294 0.087

=====

Which is most stable, and by how much? arrangement i, by 133 meV per atom.

=====

Arrangement i

Material: Sm6Ho3Tm
Method: DFT, PBE
State: optimized geometry

Properties
Its density is 7.9 g cm⁻³.

Cell lengths 6.256, 11.061, 11.061 Å; angles 120.37, 90.00, 90.00 degrees
Fractional positions:
Tm 0.622 0.800 0.200
Sm 0.855 0.477 0.055
Sm 0.855 0.945 0.523
Sm 0.043 0.712 0.623
Sm 0.543 0.623 0.712
Sm 0.543 0.288 0.377
Sm 0.355 0.055 0.477
Ho 0.967 0.722 0.945
Sm 0.648 0.278 0.722
Ho 0.074 0.387 0.613
Sm 0.911 0.041 0.959
Ho 0.467 0.278 0.055
Sm 0.411 0.959 0.041
Ho 0.467 0.945 0.722
Tm 0.122 0.200 0.800
Ho 0.574 0.613 0.387
Ho 0.967 0.055 0.278
Sm 0.043 0.377 0.288
Sm 0.355 0.523 0.945
Sm 0.148 0.722 0.278

=====

Arrangement ii

Material: Sm6Ho3Tm
Method: DFT, PBE
State: optimized geometry

Properties
Its density is 7.9 g cm⁻³.

Cell lengths 6.387, 11.655, 11.655 Å; angles 130.63, 90.00, 90.00 degrees
Fractional positions:
Ho 0.089 0.420 0.580
Ho 0.991 0.042 0.294
Sm 0.824 0.895 0.456
Sm 0.320 0.984 0.016
Sm 0.568 0.258 0.379
Sm 0.824 0.544 0.105
Sm 0.068 0.742 0.621
Tm 0.018 0.159 0.841
Ho 0.589 0.580 0.420
Sm 0.068 0.379 0.258
Sm 0.820 0.016 0.984
Sm 0.793 0.300 0.700
Sm 0.324 0.105 0.544
Ho 0.491 0.294 0.042
Sm 0.293 0.700 0.300
Sm 0.324 0.456 0.895
Ho 0.991 0.706 0.958
Sm 0.568 0.621 0.742
Tm 0.518 0.841 0.159
Ho 0.491 0.958 0.706

=====

Which is most stable, and by how much? arrangement ii, by 19 meV per atom.